A plane-wave DFT calculation with PBE was carried out for a geometry-optimized SiP2RuN structure.

Values from the calculation:
The calculation puts the energy above the most stable polymorph in this dataset at 0.0 meV/atom. For the uncorrected energy, the calculation gives -70.96 eV for the cell shown. For the formation energy without anion corrections, the calculation gives -0.327 eV/atom. Its space group is Cm (8). The value obtained for the magnetic moment is 0.00 μB/atom. For the density of states at the Fermi level, the calculation gives 4.323 states/eV/cell.

Cell: 5.9835 2.9057 8.2372 Å, 90.00 94.96 90.00°
Last column: nearest neighbours and their distance in Å.
Element x y z (fractional)
Ru (0.4271, 0.0000, 0.2524)  5 P 2.30-2.38
P (0.3388, 0.5000, 0.4646)  1 Si 2.27, 3 Ru 2.37-2.38
P (0.7259, 0.5000, 0.2506)  1 N 1.71
Si (0.9633, 0.5000, 0.4861)  2 N 1.76
P (0.7259, 0.0000, 0.7506)  1 N 1.71
P (0.3388, 0.0000, 0.9646)  1 Si 2.27, 3 Ru 2.37-2.38
N (0.8868, 0.0000, 0.5889)  1 P 1.71, 2 Si 1.76
Si (0.9633, 0.0000, 0.9861)  2 N 1.76
Ru (0.4271, 0.5000, 0.7524)  5 P 2.30-2.38
N (0.8868, 0.5000, 0.0889)  1 P 1.71, 2 Si 1.76